A plane-wave DFT calculation with PBE-GGA was carried out for Ca4AsCl after structural relaxation.

Values from the calculation:
total DFT energy (no corrections): -2.471 eV per atom
symmetry: F-43m, No. 216

```
Ca4AsCl
1.0
0.000 4.679 4.679
4.679 0.000 4.679
4.679 4.679 0.000
Ca As Cl
4 1 1
Direct
0.377 0.377 0.377 Ca
0.377 0.377 0.870 Ca
0.377 0.870 0.377 Ca
0.870 0.377 0.377 Ca
0.750 0.750 0.750 As
0.000 0.000 0.000 Cl
```